No. 1
Entry from OQMD: crystalline CuBiSbF at its relaxed geometry (PBE).

The value obtained for the energy is -3.7557 eV/atom. The value obtained for the energy above the most stable polymorph in this dataset is 1.21 eV per formula unit.

It has space group P4/nmm (No. 129, origin choice 2), with a = 4.795 Å, b = 4.795 Å, c = 6.918 Å, α = 90.00°, β = 90.00° and γ = 90.00°. The distinct sites, in fractional coordinates, are Cu at (0.250, 0.250, 0.225), Bi at (0.250, 0.750, 0.000), Sb at (0.250, 0.250, 0.602) and F at (0.250, 0.750, 0.500).

---

No. 2
Entry from OQMD: crystalline SmCdPd at its relaxed geometry (PBE).

Its energy of formation from the pure elements is -472.4 meV/atom. The value obtained for the energy is -4.0663 eV/atom.

It has space group P-62m (No. 189), with a = 7.4870 Å, b = 7.4870 Å, c = 4.2426 Å, α = 90.00°, β = 90.00° and γ = 120.00°. The distinct sites, in fractional coordinates, are Sm at (0.0000, 0.5853, 0.0000), Cd at (0.0000, 0.0000, 0.0000), Cd at (0.3333, 0.6667, 0.5000) and Pd at (0.0000, 0.2522, 0.5000).

---

No. 3
Entry from OQMD: crystalline PmAuSeO at its relaxed geometry (PBE).

The value obtained for the energy is -5.9156 eV/atom. The value obtained for the energy above the most stable polymorph in this dataset is 0.35 eV per formula unit.

It has space group Pbcm (No. 57), with a = 9.454 Å, b = 5.698 Å, c = 5.702 Å, α = 90.00°, β = 90.00° and γ = 90.00°. The distinct sites, in fractional coordinates, are Pm at (0.125, 0.001, 0.250), Au at (0.494, 0.250, 0.000), Se at (0.289, 0.504, 0.250) and O at (0.001, 0.750, 0.000).

---

No. 4
Entry from OQMD: crystalline Co2GeAu at its relaxed geometry (PBE).

The value obtained for the energy is -5.2432 eV/atom.

It has space group F-43m (No. 216), with a = 6.069 Å, b = 6.069 Å, c = 6.069 Å, α = 90.00°, β = 90.00° and γ = 90.00°. The distinct sites, in fractional coordinates, are Co at (0.000, 0.000, 0.000), Co at (0.250, 0.250, 0.250), Ge at (0.000, 0.000, 0.500) and Au at (0.250, 0.250, 0.750).

---

No. 5
Entry from OQMD: crystalline NiBiPt at its relaxed geometry (PBE).

The value obtained for the energy is -4.9715 eV/atom. The value obtained for the energy above the most stable polymorph in this dataset is 0.74 eV per formula unit.

It has space group P-62m (No. 189), with a = 7.0473 Å, b = 7.0473 Å, c = 4.2399 Å, α = 90.00°, β = 90.00° and γ = 120.00°. The distinct sites, in fractional coordinates, are Ni at (0.0000, 0.4622, 0.0000), Bi at (0.0000, 0.0000, 0.0000), Bi at (0.3333, 0.6667, 0.5000) and Pt at (0.0000, 0.2423, 0.5000).

---

No. 6
Entry from OQMD: crystalline BaScPd2 at its relaxed geometry (PBE).

The value obtained for the energy is -4.8033 eV/atom.

It has space group F-43m (No. 216), with a = 6.968 Å, b = 6.968 Å, c = 6.968 Å, α = 90.00°, β = 90.00° and γ = 90.00°. The distinct sites, in fractional coordinates, are Ba at (0.000, 0.000, 0.000), Sc at (0.250, 0.250, 0.750), Pd at (0.000, 0.000, 0.500) and Pd at (0.250, 0.250, 0.250).

---

No. 7
Entry from OQMD: crystalline Al3Co10 at its relaxed geometry (PBE).

The value obtained for the energy is -6.3978 eV/atom. The value obtained for the energy above the most stable polymorph in this dataset is 0.00 eV per formula unit.

It has space group R-3m (No. 166, hexagonal axes), with a = 4.6621 Å, b = 4.6621 Å, c = 24.1459 Å, α = 90.00°, β = 90.00° and γ = 120.00°. The distinct sites, in fractional coordinates, are Al at (0.0000, 0.0000, 0.0000), Al at (0.0000, 0.0000, 0.1664), Co at (0.0000, 0.0000, 0.3480), Co at (0.0000, 0.0000, 0.4532) and Co at (0.0047, 0.5023, 0.4125).

---

No. 8
Entry from OQMD: crystalline Sm4Ta2Be at its relaxed geometry (PBE).

The value obtained for the energy is -5.3578 eV/atom.

It has space group I4/mmm (No. 139), with a = 10.346 Å, b = 10.346 Å, c = 4.706 Å, α = 90.00°, β = 90.00° and γ = 90.00°. The distinct sites, in fractional coordinates, are Sm at (0.000, 0.230, 0.000), Ta at (0.000, 0.500, 0.250) and Be at (0.000, 0.000, 0.500).